(1)
Tb2SmRu after structural relaxation. Source: the Alexandria database, functional PBE.

Results
The formation enthalpy at 0 K comes out at -0.195 eV per atom. The total energy is -6.01 eV per atom. The density is 8.76 Mg/m³. As for the symmetry: P4/mmm, No. 123. As for the density of states at the Fermi level: 0.781 states/eV per atom.

Cell: 3.4488 3.4488 9.0679 Å, 90.00 90.00 90.00°
Atoms (fractional coordinates):
Tb1 0.0000 0.0000 0.1821
Tb2 0.0000 0.0000 0.8179
Sm1 0.5000 0.5000 0.5000
Ru1 0.5000 0.5000 0.0000

(2)
Tb5Sm3Ru2 after structural relaxation. Source: the Alexandria database, functional PBE.

Results
The formation enthalpy at 0 K comes out at -0.014 eV per atom. The total energy is -5.60 eV per atom. The density is 8.15 Mg/m³. As for the symmetry: Ibam, No. 72. As for the density of states at the Fermi level: 1.008 states/eV per atom.

Cell: 9.9697 9.9697 9.9697 Å, 104.39 89.07 140.15°
Atoms (fractional coordinates):
Tb1 0.0237 0.2500 0.7737
Tb2 0.0643 0.2156 0.2799
Tb3 0.2500 0.2500 0.0000
Tb4 0.4357 0.7156 0.1513
Tb5 0.4763 0.2500 0.2263
Tb6 0.5237 0.7500 0.7737
Tb7 0.5643 0.2844 0.8487
Tb8 0.7500 0.7500 0.0000
Tb9 0.9357 0.7844 0.7201
Tb10 0.9763 0.7500 0.2263
Sm1 0.1801 0.7403 0.9204
Sm2 0.2500 0.7500 0.5000
Sm3 0.3199 0.2403 0.5602
Sm4 0.6801 0.7597 0.4398
Sm5 0.7500 0.2500 0.5000
Sm6 0.8199 0.2597 0.0796
Ru1 0.1586 0.3925 0.5512
Ru2 0.3414 0.8925 0.2339
Ru3 0.6586 0.1075 0.7661
Ru4 0.8414 0.6075 0.4488

(3)
Tb3SmRu8 after structural relaxation. Source: the Alexandria database, functional PBE.

Results
The formation enthalpy at 0 K comes out at -0.259 eV per atom. The total energy is -7.99 eV per atom. The density is 10.96 Mg/m³. As for the symmetry: R3m, No. 160. As for the density of states at the Fermi level: 1.257 states/eV per atom.

Cell: 9.3168 9.3168 9.3168 Å, 33.34 33.34 33.34°
Atoms (fractional coordinates):
Tb1 0.0000 0.0000 0.0000
Tb2 0.1247 0.1247 0.1247
Tb3 0.4999 0.4999 0.4999
Sm1 0.6249 0.6249 0.6249
Ru1 0.0621 0.0621 0.5609
Ru2 0.0621 0.5609 0.0621
Ru3 0.0647 0.5620 0.5620
Ru4 0.3123 0.3123 0.3123
Ru5 0.5609 0.0621 0.0621
Ru6 0.5620 0.0647 0.5620
Ru7 0.5620 0.5620 0.0647
Ru8 0.8121 0.8121 0.8121

(4)
Tb4SmRu2 after structural relaxation. Source: the Alexandria database, functional PBE.

Results
The formation enthalpy at 0 K comes out at -0.222 eV per atom. The total energy is -6.19 eV per atom. The density is 8.92 Mg/m³. As for the symmetry: P2_1/m, No. 11. As for the density of states at the Fermi level: 0.957 states/eV per atom.

Cell: 7.7908 6.4331 7.9549 Å, 90.00 112.69 90.00°
Atoms (fractional coordinates):
Tb1 0.1222 0.2500 0.4804
Tb2 0.1763 0.7500 0.2515
Tb3 0.2559 0.5010 0.9146
Tb4 0.2559 0.9990 0.9146
Tb5 0.7441 0.0010 0.0854
Tb6 0.7441 0.4990 0.0854
Tb7 0.8237 0.2500 0.7485
Tb8 0.8778 0.7500 0.5196
Sm1 0.4762 0.2500 0.3361
Sm2 0.5238 0.7500 0.6639
Ru1 0.0875 0.2500 0.1269
Ru2 0.4790 0.2500 0.7611
Ru3 0.5210 0.7500 0.2389
Ru4 0.9125 0.7500 0.8731

(5)
Tb2SmRu after structural relaxation. Source: the Alexandria database, functional PBE.

Results
The formation enthalpy at 0 K comes out at -0.283 eV per atom. The total energy is -6.10 eV per atom. The density is 8.65 Mg/m³. As for the symmetry: Pnma, No. 62. As for the density of states at the Fermi level: 0.855 states/eV per atom.

Cell: 7.3344 9.3264 6.3914 Å, 90.00 90.00 90.00°
Atoms (fractional coordinates):
Tb1 0.1767 0.0658 0.1688
Tb2 0.1767 0.4342 0.1688
Tb3 0.3233 0.5658 0.6688
Tb4 0.3233 0.9342 0.6688
Tb5 0.6767 0.0658 0.3312
Tb6 0.6767 0.4342 0.3312
Tb7 0.8233 0.5658 0.8312
Tb8 0.8233 0.9342 0.8312
Sm1 0.0410 0.2500 0.6353
Sm2 0.4590 0.7500 0.1353
Sm3 0.5410 0.2500 0.8647
Sm4 0.9590 0.7500 0.3647
Ru1 0.1138 0.7500 0.9527
Ru2 0.3862 0.2500 0.4527
Ru3 0.6138 0.7500 0.5473
Ru4 0.8862 0.2500 0.0473

(6)
TbSm3Ru2 after structural relaxation. Source: the Alexandria database, functional PBE.

Results
The formation enthalpy at 0 K comes out at -0.238 eV per atom. The total energy is -6.46 eV per atom. The density is 8.82 Mg/m³. As for the symmetry: Cmcm, No. 63. As for the density of states at the Fermi level: 0.918 states/eV per atom.

Cell: 6.8983 6.8983 6.4265 Å, 90.00 90.00 90.27°
Atoms (fractional coordinates):
Tb1 0.0664 0.9336 0.7500
Tb2 0.9336 0.0664 0.2500
Sm1 0.0679 0.5667 0.2500
Sm2 0.4318 0.5682 0.7500
Sm3 0.4333 0.9321 0.2500
Sm4 0.5667 0.0679 0.7500
Sm5 0.5682 0.4318 0.2500
Sm6 0.9321 0.4333 0.7500
Ru1 0.2464 0.2464 0.0000
Ru2 0.2464 0.2464 0.5000
Ru3 0.7536 0.7536 0.0000
Ru4 0.7536 0.7536 0.5000

(7)
Tb5SmRu3 after structural relaxation. Source: the Alexandria database, functional PBE.

Results
The formation enthalpy at 0 K comes out at -0.201 eV per atom. The total energy is -6.39 eV per atom. The density is 8.00 Mg/m³. As for the symmetry: C2/m, No. 12. As for the density of states at the Fermi level: 0.274 states/eV per atom.

Cell: 7.6701 7.6701 10.0252 Å, 108.23 108.23 72.42°
Atoms (fractional coordinates):
Tb1 0.0691 0.0691 0.3692
Tb2 0.1360 0.5343 0.3308
Tb3 0.1979 0.8021 0.0000
Tb4 0.2671 0.2671 0.9669
Tb5 0.4657 0.8640 0.6692
Tb6 0.5343 0.1360 0.3308
Tb7 0.7329 0.7329 0.0331
Tb8 0.8021 0.1979 0.0000
Tb9 0.8640 0.4657 0.6692
Tb10 0.9309 0.9309 0.6308
Sm1 0.3966 0.3966 0.6993
Sm2 0.6034 0.6034 0.3007
Ru1 0.1631 0.1631 0.6689
Ru2 0.1674 0.1674 0.1672
Ru3 0.5000 0.5000 0.0000
Ru4 0.5000 0.5000 0.5000
Ru5 0.8326 0.8326 0.8328
Ru6 0.8369 0.8369 0.3311

(8)
Tb2SmRu after structural relaxation. Source: the Alexandria database, functional PBE.

Results
The formation enthalpy at 0 K comes out at -0.265 eV per atom. The total energy is -6.08 eV per atom. The density is 8.63 Mg/m³. As for the symmetry: Cmcm, No. 63. As for the density of states at the Fermi level: 0.854 states/eV per atom.

Cell: 3.9302 12.0927 9.2220 Å, 90.00 90.00 90.00°
Atoms (fractional coordinates):
Tb1 0.0000 0.1441 0.0691
Tb2 0.0000 0.1441 0.4309
Tb3 0.0000 0.8559 0.5691
Tb4 0.0000 0.8559 0.9309
Tb5 0.5000 0.3559 0.5691
Tb6 0.5000 0.3559 0.9309
Tb7 0.5000 0.6441 0.0691
Tb8 0.5000 0.6441 0.4309
Sm1 0.0000 0.4238 0.2500
Sm2 0.0000 0.5762 0.7500
Sm3 0.5000 0.0762 0.7500
Sm4 0.5000 0.9238 0.2500
Ru1 0.0000 0.2445 0.7500
Ru2 0.0000 0.7555 0.2500
Ru3 0.5000 0.2555 0.2500
Ru4 0.5000 0.7445 0.7500

(9)
TbSmZnRu after structural relaxation. Source: the Alexandria database, functional PBE.

Results
The formation enthalpy at 0 K comes out at -0.296 eV per atom. The total energy is -5.27 eV per atom. The density is 8.59 Mg/m³. As for the symmetry: Amm2, No. 38. As for the density of states at the Fermi level: 1.074 states/eV per atom.

Cell: 4.3126 3.9991 10.6692 Å, 90.00 90.00 90.00°
Atoms (fractional coordinates):
Tb1 0.0000 0.0000 0.0000
Tb2 0.0000 0.5000 0.5000
Sm1 0.5000 0.0000 0.2811
Sm2 0.5000 0.5000 0.7811
Zn1 0.0000 0.0000 0.7061
Zn2 0.0000 0.5000 0.2061
Ru1 0.5000 0.0000 0.5632
Ru2 0.5000 0.5000 0.0632

(10)
TbSmZnRu after structural relaxation. Source: the Alexandria database, functional PBE.

Results
The formation enthalpy at 0 K comes out at -0.304 eV per atom. The total energy is -5.28 eV per atom. The density is 9.05 Mg/m³. As for the symmetry: F-43m, No. 216. As for the density of states at the Fermi level: 0.795 states/eV per atom.

Cell: 7.0414 7.0414 7.0414 Å, 90.00 90.00 90.00°
Atoms (fractional coordinates):
Tb1 0.0000 0.0000 0.0000
Tb2 0.0000 0.5000 0.5000
Tb3 0.5000 0.0000 0.5000
Tb4 0.5000 0.5000 0.0000
Sm1 0.0000 0.0000 0.5000
Sm2 0.0000 0.5000 0.0000
Sm3 0.5000 0.0000 0.0000
Sm4 0.5000 0.5000 0.5000
Zn1 0.2500 0.2500 0.7500
Zn2 0.2500 0.7500 0.2500
Zn3 0.7500 0.2500 0.2500
Zn4 0.7500 0.7500 0.7500
Ru1 0.2500 0.2500 0.2500
Ru2 0.2500 0.7500 0.7500
Ru3 0.7500 0.2500 0.7500
Ru4 0.7500 0.7500 0.2500

(11)
SmTcRu after structural relaxation. Source: the Alexandria database, functional PBE.

Results
The formation enthalpy at 0 K comes out at -0.144 eV per atom. The total energy is -8.26 eV per atom. The density is 10.27 Mg/m³. As for the symmetry: Imma, No. 74. As for the density of states at the Fermi level: 0.918 states/eV per atom.

Cell: 5.0803 5.7670 7.7122 Å, 90.00 90.00 90.00°
Atoms (fractional coordinates):
Sm1 0.0000 0.2500 0.1220
Sm2 0.0000 0.7500 0.8780
Sm3 0.5000 0.2500 0.3780
Sm4 0.5000 0.7500 0.6220
Tc1 0.2500 0.2500 0.7500
Tc2 0.2500 0.7500 0.2500
Tc3 0.7500 0.2500 0.7500
Tc4 0.7500 0.7500 0.2500
Ru1 0.0000 0.0000 0.5000
Ru2 0.0000 0.5000 0.5000
Ru3 0.5000 0.0000 0.0000
Ru4 0.5000 0.5000 0.0000

(12)
SmTcRu after structural relaxation. Source: the Alexandria database, functional PBE.

Results
The formation enthalpy at 0 K comes out at 0.100 eV per atom. The total energy is -8.02 eV per atom. The density is 9.69 Mg/m³. As for the symmetry: C2/m, No. 12. As for the density of states at the Fermi level: 0.618 states/eV per atom.

Cell: 8.7621 5.7948 4.9618 Å, 90.00 108.15 90.00°
Atoms (fractional coordinates):
Sm1 0.1352 0.0000 0.3729
Sm2 0.3648 0.5000 0.6271
Sm3 0.6352 0.5000 0.3729
Sm4 0.8648 0.0000 0.6271
Tc1 0.0176 0.5000 0.7474
Tc2 0.4824 0.0000 0.2526
Tc3 0.5176 0.0000 0.7474
Tc4 0.9824 0.5000 0.2526
Ru1 0.2500 0.2500 0.0000
Ru2 0.2500 0.7500 0.0000
Ru3 0.7500 0.2500 0.0000
Ru4 0.7500 0.7500 0.0000